# LiBiSe2

A relaxed LiBiSe2 crystal (PBE-GGA, the Alexandria database).

a = 5.3277 Å, b = 5.3277 Å, c = 11.3704 Å
α = 90.00°, β = 90.00°, γ = 120.00°
Space group R-3m (No. 166, hexagonal axes)
One atom of each set of equivalent atoms:
Li1 0.0000 0.0000 0.0000 [3 per cell]
Bi1 0.0000 0.0000 0.5000 [3 per cell]
Se1 0.0000 0.0000 0.2353 [6 per cell]

Summary:
E_tot (eV/atom): -3.635



# Li2BiSe

A relaxed Li2BiSe crystal (PBE-GGA, the Alexandria database).

a = 7.647 Å, b = 7.647 Å, c = 6.056 Å
α = 90.00°, β = 90.00°, γ = 90.00°
Space group I-42d (No. 122)
One atom of each set of equivalent atoms:
Li1 0.189 0.750 0.125 [8 per cell]
Bi1 0.000 0.000 0.500 [4 per cell]
Se1 0.000 0.000 0.000 [4 per cell]

Summary:
Energy above the most stable polymorph in this dataset (eV/f.u.): 0.00



# Li3BiSe3

A relaxed Li3BiSe3 crystal (PBE-GGA, the Alexandria database).

a = 7.4814 Å, b = 7.4814 Å, c = 20.5902 Å
α = 90.00°, β = 90.00°, γ = 120.00°
Space group R-3 (No. 148, hexagonal axes)
One atom of each set of equivalent atoms:
Li1 0.0104 0.3073 0.1193 [18 per cell]
Bi1 0.0000 0.0000 0.3312 [6 per cell]
Se1 0.0081 0.3677 0.9139 [18 per cell]

Summary:
E_tot (eV/atom): -3.786



# Li3Bi5Se12

A relaxed Li3Bi5Se12 crystal (PBE-GGA, the Alexandria database).

a = 16.844 Å, b = 16.844 Å, c = 16.844 Å
α = 90.00°, β = 90.00°, γ = 90.00°
Space group Ia-3d (No. 230)
One atom of each set of equivalent atoms:
Li1 0.000 0.250 0.125 [24 per cell]
Bi1 0.000 0.000 0.000 [16 per cell]
Bi2 0.000 0.250 0.375 [24 per cell]
Se1 0.014 0.074 0.656 [96 per cell]

Summary:
E_tot (eV/atom): -3.597



# Li2BiSe2

A relaxed Li2BiSe2 crystal (PBE-GGA, the Alexandria database).

a = 3.911 Å, b = 3.911 Å, c = 13.683 Å
α = 90.00°, β = 90.00°, γ = 90.00°
Space group I4/mmm (No. 139)
One atom of each set of equivalent atoms:
Li1 0.000 0.500 0.250 [4 per cell]
Bi1 0.000 0.000 0.000 [2 per cell]
Se1 0.000 0.000 0.371 [4 per cell]

Summary:
E_tot (eV/atom): -3.507



# Li5BiSe4

A relaxed Li5BiSe4 crystal (PBE-GGA, the Alexandria database).

a = 8.289 Å, b = 9.446 Å, c = 6.087 Å
α = 90.00°, β = 90.00°, γ = 90.00°
Space group Pmmn (No. 59, origin choice 2)
One atom of each set of equivalent atoms:
Li1 0.018 0.036 0.247 [8 per cell]
Li2 0.250 0.750 0.234 [2 per cell]
Bi1 0.250 0.250 0.808 [2 per cell]
Se1 0.003 0.750 0.482 [4 per cell]
Se2 0.250 0.535 0.980 [4 per cell]

Summary:
E_tot (eV/atom): -3.693



# Li2Bi2Se3

A relaxed Li2Bi2Se3 crystal (PBE-GGA, the Alexandria database).

a = 6.368 Å, b = 9.029 Å, c = 6.681 Å
α = 90.00°, β = 117.42°, γ = 90.00°
Space group P2_1/c (No. 14)
One atom of each set of equivalent atoms:
Li1 0.105 0.111 0.417 [4 per cell]
Bi1 0.387 0.690 0.570 [4 per cell]
Se1 0.145 0.117 0.819 [4 per cell]
Se2 0.500 0.000 0.500 [2 per cell]

Summary:
E_tot (eV/atom): -3.717



# Li2BiSe2

A relaxed Li2BiSe2 crystal (PBE-GGA, the Alexandria database).

a = 7.791 Å, b = 7.791 Å, c = 3.687 Å
α = 90.00°, β = 90.00°, γ = 90.00°
Space group P4/mbm (No. 127)
One atom of each set of equivalent atoms:
Li1 0.135 0.365 0.000 [4 per cell]
Bi1 0.000 0.000 0.500 [2 per cell]
Se1 0.169 0.669 0.500 [4 per cell]

Summary:
E_tot (eV/atom): -3.643